{"formula": "CrWIO2", "functional": "PBE+U", "state": "optimized geometry", "final_energy_ev_per_atom": -6.04, "space_group": "P4/mmm", "de_polymorph_kj_per_mol_atoms": 0.0, "lattice": [[3.958, 0.000, 0.000], [0.000, 3.958, 0.000], [0.000, 0.000, 7.575]], "species": ["Cr", "W", "I", "O", "O"], "frac_coords": [[0.000, 0.000, 0.000], [0.500, 0.500, 0.500], [0.500, 0.500, 0.000], [0.000, 0.500, 0.500], [0.500, 0.000, 0.500]]}